[1]
A crystal of FeCuSb2 relaxed with PBEsol. Source: Alexandria via LeMat-Bulk, functional SCAN.

abc: 4.5778 4.5778 3.3153
angles: 90.00 90.00 90.00
With the nearest neighbours (Å) after each atom.
Atoms (fractional coordinates):
Fe  0.0000  0.0000  0.0000  8 Sb 2.83
Cu  0.5000  0.5000  0.0000  8 Sb 2.83
Sb  0.0000  0.5000  0.5000  4 Fe 2.83, 4 Cu 2.83
Sb  0.5000  0.0000  0.5000  4 Fe 2.83, 4 Cu 2.83

**Final energy**: -26.5054 eV/atom
**Uncorrected formation energy**: 0.46 eV per atom
**Space group**: P4/mmm (123)

***

[2]
A crystal of Sm6MnSi2S14 relaxed with PBEsol. Source: Alexandria via LeMat-Bulk, functional SCAN.

abc: 9.9366 9.9366 5.6035
angles: 90.00 90.00 120.00
With the nearest neighbours (Å) after each atom.
Atoms (fractional coordinates):
Sm  0.0241  0.4593  0.0000  8 S 2.76-3.08
Sm  0.3095  0.2068  0.5057  8 S 2.76-3.01
Sm  0.4352  0.9759  0.0000  8 S 2.76-3.08
Sm  0.5407  0.5648  0.0000  8 S 2.76-3.08
Sm  0.7932  0.1027  0.5057  8 S 2.76-3.01
Sm  0.8973  0.6905  0.5057  8 S 2.76-3.01
Mn  0.6667  0.3333  0.2404  6 S 2.54-2.56
Si  0.0000  0.0000  0.0912  4 S 2.10-2.14
Si  0.3333  0.6667  0.5838  4 S 2.09-2.14
S  0.0000  0.0000  0.7170  1 Si 2.10
S  0.0803  0.2263  0.2372  1 Si 2.14
S  0.1460  0.9197  0.2372  1 Si 2.14
S  0.1870  0.7463  0.7316  1 Si 2.14
S  0.2537  0.4407  0.7316  1 Si 2.14
S  0.3333  0.6667  0.2101  1 Si 2.09
S  0.4190  0.2471  0.9970  1 Mn 2.56, 2 Sm 2.76-2.78
S  0.5073  0.0856  0.4785  1 Mn 2.54, 2 Sm 2.76-2.78
S  0.5593  0.8130  0.7316  1 Si 2.14
S  0.5783  0.4927  0.4785  1 Mn 2.54, 2 Sm 2.76-2.78
S  0.7529  0.1719  0.9970  1 Mn 2.56, 2 Sm 2.76-2.78
S  0.7737  0.8540  0.2372  1 Si 2.14
S  0.8281  0.5810  0.9970  1 Mn 2.56, 2 Sm 2.76-2.78
S  0.9144  0.4217  0.4785  1 Mn 2.54, 2 Sm 2.76-2.78

**Final energy**: -21.0111 eV/atom
**Uncorrected formation energy**: -1.89 eV per atom
**Space group**: P3 (143)

***

[3]
A crystal of Cr2MoW relaxed with PBEsol. Source: Alexandria via LeMat-Bulk, functional SCAN.

abc: 4.2286 4.2286 2.9849
angles: 90.00 90.00 90.00
With the nearest neighbours (Å) after each atom.
Atoms (fractional coordinates):
Cr  0.0000  0.5000  0.0000  4 W 2.59, 4 Mo 2.59
Cr  0.5000  0.0000  0.0000  4 W 2.59, 4 Mo 2.59
Mo  0.0000  0.0000  0.5000  8 Cr 2.59
W  0.5000  0.5000  0.5000  8 Cr 2.59

**Final energy**: -35.3053 eV/atom
**Formation enthalpy at 0 K**: 0.03 eV/atom
**Space group**: P4/mmm (123)

***

[4]
A crystal of BaLi3Al relaxed with PBEsol. Source: Alexandria via LeMat-Bulk, functional SCAN.

abc: 5.1598 5.1598 5.1598
angles: 90.00 90.00 90.00
With the nearest neighbours (Å) after each atom.
Atoms (fractional coordinates):
Ba  0.0000  0.0000  0.0000  12 Li 3.65
Li  0.0000  0.5000  0.5000  2 Al 2.58
Li  0.5000  0.0000  0.5000  2 Al 2.58
Li  0.5000  0.5000  0.0000  2 Al 2.58
Al  0.5000  0.5000  0.5000  6 Li 2.58

**Final energy**: -10.9021 eV/atom
**Formation enthalpy at 0 K**: -0.01 eV/atom
**Space group**: Pm-3m (221)

***

[5]
A crystal of LiNiRu relaxed with PBEsol. Source: Alexandria via LeMat-Bulk, functional SCAN.

abc: 5.5167 5.5167 5.5167
angles: 90.00 90.00 90.00
With the nearest neighbours (Å) after each atom.
Atoms (fractional coordinates):
Li  0.0000  0.0000  0.0000  4 Ru 2.39
Li  0.0000  0.5000  0.5000  4 Ru 2.39
Li  0.5000  0.0000  0.5000  4 Ru 2.39
Li  0.5000  0.5000  0.0000  4 Ru 2.39
Ni  0.0000  0.0000  0.5000  4 Ru 2.39
Ni  0.0000  0.5000  0.0000  4 Ru 2.39
Ni  0.5000  0.0000  0.0000  4 Ru 2.39
Ni  0.5000  0.5000  0.5000  4 Ru 2.39
Ru  0.2500  0.2500  0.2500  4 Ni 2.39, 4 Li 2.39
Ru  0.2500  0.7500  0.7500  4 Ni 2.39, 4 Li 2.39
Ru  0.7500  0.2500  0.7500  4 Ni 2.39, 4 Li 2.39
Ru  0.7500  0.7500  0.2500  4 Ni 2.39, 4 Li 2.39

**Final energy**: -17.0294 eV/atom
**Formation enthalpy at 0 K**: 0.77 eV/atom
**Space group**: F-43m (216)

***

[6]
A crystal of AlAsAuBr2 relaxed with PBEsol. Source: Alexandria via LeMat-Bulk, functional SCAN.

abc: 4.7496 4.7496 5.2553
angles: 90.00 90.00 90.00
With the nearest neighbours (Å) after each atom.
Atoms (fractional coordinates):
Al  0.0000  0.0000  0.0000  4 Br 2.37, 2 As 2.63
As  0.0000  0.0000  0.5000  2 Al 2.63
Au  0.5000  0.5000  0.5000  4 As 3.36, 8 Br 3.54
Br  0.0000  0.5000  0.0000  2 Al 2.37
Br  0.5000  0.0000  0.0000  2 Al 2.37

**Final energy**: -26.9834 eV/atom
**Uncorrected formation energy**: 0.22 eV per atom
**Space group**: P4/mmm (123)

***

Respective total magnetic moment values: 2.46 5.00 0.14 0.00 2.30 0.00 μB/f.u..